Compound: La2YSc
Source: Alexandria
Functional: PBE
Structure: optimized geometry

```
data_La2YSc
_cell_length_a 3.5920
_cell_length_b 3.5920
_cell_length_c 34.8635
_cell_angle_alpha 90.00
_cell_angle_beta 90.00
_cell_angle_gamma 120.00
_space_group_name_H-M_alt 'R 3 m'
_space_group_IT_number 160
_space_group_name_Hall 'R 3 -2"'
loop_
_atom_site_label
_atom_site_fract_x
_atom_site_fract_y
_atom_site_fract_z
La1 0.0000 0.0000 0.0000
La2 0.0000 0.0000 0.2446
Y1 0.0000 0.0000 0.4895
Sc1 0.0000 0.0000 0.7467
```

energy of formation: 0.071 eV per atom
excess energy over the best structure of this formula in the dataset: 0.030 eV per atom
DFT total energy: -67.1 eV for the cell shown
Fermi-level density of states: 8.10 states/eV/f.u.